The following is a DFT calculation (PBE-GGA) of an optimized crystal structure of Dy4CdAg2.

Calculated values
- Fermi-level density of states (states/eV per atom) = 0.9675
- DFT formation energy (eV/atom) = -0.16
- offset from the most stable computed form (meV/atom) = 0
- size of the total moment (Bohr magnetons per cell) = 0.000
- uncorrected energy (eV/cell) = -78.44

a = 5.1435 Å, b = 5.1435 Å, c = 24.6190 Å
α = 90.00°, β = 90.00°, γ = 120.00°
Space group R-3m (No. 166, hexagonal axes)
Asymmetric unit:
Dy 0.0000 0.0000 0.1175 (multiplicity 6)
Dy 0.0000 0.0000 0.3700 (multiplicity 6)
Cd 0.0000 0.0000 0.5000 (multiplicity 3)
Ag 0.0000 0.0000 0.2460 (multiplicity 6)



The following is a DFT calculation (PBE-GGA) of an optimized crystal structure of Dy5CdAg4.

Calculated values
- Fermi-level density of states (states/eV per atom) = 0.5425
- DFT formation energy (eV/atom) = -0.32
- size of the total moment (Bohr magnetons per cell) = 0.000
- uncorrected energy (eV/cell) = -38.55

a = 3.644 Å, b = 3.644 Å, c = 18.376 Å
α = 90.00°, β = 90.00°, γ = 90.00°
Space group P4/mmm (No. 123)
Asymmetric unit:
Dy 0.000 0.000 0.000 (multiplicity 1)
Dy 0.000 0.000 0.198 (multiplicity 2)
Dy 0.000 0.000 0.395 (multiplicity 2)
Cd 0.500 0.500 0.500 (multiplicity 1)
Ag 0.500 0.500 0.099 (multiplicity 2)
Ag 0.500 0.500 0.298 (multiplicity 2)